No. 1
A relaxed Ca2Co2I crystal, computed with PBE.

POSCAR file:
```
Ca2Co2I
1.0
-0.375 5.178 -2.258
-5.108 -1.276 -2.079
-4.307 3.185 0.922
Ca Co I
2 2 1
direct
0.250 0.750 0.500
0.750 0.250 0.500
0.650 0.650 0.700
0.350 0.350 0.300
0.000 0.000 0.000
```

Values from the calculation:
Size of the total moment = 1.2 μB/cell
E_form (uncorrected) = 111 kJ/mol of formula units
Density of states at the Fermi level = 5.86 states/eV per cell


No. 2
A relaxed CaCoI2 crystal, computed with PBE.

POSCAR file:
```
CaCoI2
1.0
-3.620 1.865 5.012
-0.289 -6.111 2.065
3.284 -1.208 6.981
Ca I Co
2 4 2
direct
0.250 0.750 0.500
0.500 0.500 0.000
0.691 0.125 0.250
0.059 0.625 0.250
0.875 0.941 0.750
0.375 0.309 0.750
0.000 0.000 0.000
0.750 0.250 0.500
```

Values from the calculation:
Size of the total moment = 2.0 μB/cell
Energy above the most stable polymorph in this dataset = 0.000 eV per atom
E_form (uncorrected) = -106 kJ/mol of formula units
Density of states at the Fermi level = 4.79 states/eV per cell


No. 3
A relaxed CaCoI2 crystal, computed with PBE.

POSCAR file:
```
CaCoI2
1.0
-3.438 -2.688 -1.384
0.570 -4.540 -0.171
-3.604 -3.036 7.279
Co I Ca
1 2 1
direct
0.000 0.000 0.000
0.097 0.097 0.709
0.903 0.903 0.291
0.500 0.500 0.500
```

Values from the calculation:
Size of the total moment = 1.0 μB/cell
Energy above the most stable polymorph in this dataset = 0.093 eV per atom
E_form (uncorrected) = -71 kJ/mol of formula units
Density of states at the Fermi level = 5.86 states/eV per cell


No. 4
A relaxed Ca3CoI crystal, computed with PBE.

POSCAR file:
```
Ca3CoI
1.0
5.444 0.000 0.000
0.000 5.444 0.000
0.000 0.000 5.444
I Ca Co
1 3 1
direct
0.500 0.500 0.500
0.000 0.500 0.000
0.000 0.000 0.500
0.500 0.000 0.000
0.000 0.000 0.000
```

Values from the calculation:
Size of the total moment = 0.0 μB/cell
Energy above the most stable polymorph in this dataset = 0.000 eV per atom
E_form (uncorrected) = -59 kJ/mol of formula units
Density of states at the Fermi level = 3.70 states/eV per cell


No. 5
A relaxed Ca2MnCoI crystal, computed with PBE.

POSCAR file:
```
Ca2MnCoI
1.0
-5.605 1.387 0.552
-1.044 -5.174 2.405
0.888 1.849 4.364
Ca Mn Co I
2 1 1 1
direct
0.000 0.500 0.000
0.500 0.000 0.000
0.000 0.000 0.500
0.500 0.500 0.500
0.000 0.000 0.000
```

Values from the calculation:
Size of the total moment = 3.9 μB/cell
E_form (uncorrected) = 419 kJ/mol of formula units
Density of states at the Fermi level = 4.88 states/eV per cell


No. 6
A relaxed CaCoIN2 crystal, computed with PBE.

POSCAR file:
```
CaCoIN2
1.0
4.516 0.000 0.000
0.000 4.516 0.000
0.000 0.000 6.350
Co I Ca N
1 1 1 2
direct
0.500 0.500 0.500
0.000 0.000 0.500
0.000 0.000 0.000
0.000 0.500 0.000
0.500 0.000 0.000
```

Values from the calculation:
Size of the total moment = 6.2 μB/cell
Energy above the most stable polymorph in this dataset = 0.963 eV per atom
E_form (uncorrected) = 763 kJ/mol of formula units
Density of states at the Fermi level = 5.54 states/eV per cell


No. 7
A relaxed CaCoI2N crystal, computed with PBE.

POSCAR file:
```
CaCoI2N
1.0
5.567 0.000 0.000
0.000 5.567 0.000
0.000 0.000 3.606
N I Ca Co
1 2 1 1
direct
0.000 0.000 0.500
0.000 0.500 0.000
0.500 0.000 0.000
0.500 0.500 0.500
0.000 0.000 0.000
```

Values from the calculation:
Size of the total moment = 0.0 μB/cell
Energy above the most stable polymorph in this dataset = 0.000 eV per atom
E_form (uncorrected) = -76 kJ/mol of formula units
Density of states at the Fermi level = 3.92 states/eV per cell


No. 8
A relaxed CaCoI2N crystal, computed with PBE.

POSCAR file:
```
CaCoI2N
1.0
-4.645 -3.636 1.589
3.601 -2.836 4.039
-1.260 3.031 3.252
N Ca Co I
1 1 1 2
direct
0.000 0.000 0.500
0.000 0.000 0.000
0.500 0.500 0.500
0.500 0.000 0.000
0.000 0.500 0.000
```

Values from the calculation:
Size of the total moment = 4.6 μB/cell
Energy above the most stable polymorph in this dataset = 0.933 eV per atom
E_form (uncorrected) = 374 kJ/mol of formula units
Density of states at the Fermi level = 8.09 states/eV per cell


No. 9
A relaxed CaCoIN2 crystal, computed with PBE.

POSCAR file:
```
CaCoIN2
1.0
4.031 0.000 0.000
0.000 4.031 0.000
0.000 0.000 5.255
N Ca Co I
2 1 1 1
direct
0.000 0.500 0.000
0.500 0.000 0.000
0.500 0.500 0.500
0.000 0.000 0.000
0.000 0.000 0.500
```

Values from the calculation:
Size of the total moment = 3.7 μB/cell
Energy above the most stable polymorph in this dataset = 0.000 eV per atom
E_form (uncorrected) = 299 kJ/mol of formula units
Density of states at the Fermi level = 1.93 states/eV per cell


No. 10
A relaxed CaCo2IN crystal, computed with PBE.

POSCAR file:
```
CaCo2IN
1.0
4.908 0.000 0.000
0.000 5.685 0.000
0.000 0.000 4.908
Co N Ca I
2 1 1 1
direct
0.000 0.000 0.500
0.500 0.000 0.000
0.500 0.500 0.500
0.000 0.000 0.000
0.000 0.500 0.000
```

Values from the calculation:
Size of the total moment = 3.2 μB/cell
E_form (uncorrected) = 1229 kJ/mol of formula units
Density of states at the Fermi level = 14.74 states/eV per cell